VASP calculation (GGA-PBE) on crystalline AlSi2Mo at its relaxed geometry.

## Properties
E_tot = -0.4545 Ry per atom
Formation energy (no corrections) = 0.17 eV/atom

Unit cell a=2.7587 b=2.7587 c=7.7646 alpha=90.00 beta=90.00 gamma=90.00
Closest atoms and distances in Å follow each position.
Fractional positions:
Si 0.5000 0.5000 0.2441  8 Si 2.73-2.76, 4 Al 2.79
Si 0.0000 0.0000 0.9975  4 Mo 2.70, 8 Si 2.73-2.76
Mo 0.5000 0.5000 0.7573  4 Si 2.70, 4 Mo 2.76, 4 Al 2.79
Al 0.0000 0.0000 0.5010  4 Al 2.76, 4 Mo 2.79, 4 Si 2.79